# TaBeP2

An optimized crystal structure of TaBeP2 (GGA-PBE, Alexandria).

Unit cell a=3.551 b=3.334 c=9.754 alpha=90.00 beta=90.00 gamma=90.00
Space group Amm2 (No. 38)
Inequivalent atoms, fractional coordinates:
1 Ta 0.000 0.000 0.000 (multiplicity 2)
2 Be 0.500 0.000 0.616 (multiplicity 2)
3 P 0.000 0.000 0.715 (multiplicity 2)
4 P 0.500 0.000 0.403 (multiplicity 2)

Summary:
As for the final energy: -55.46 eV per cell. Its energy of formation is -332 meV/atom. The calculated volume comes out at 14.4 A^3/atom.

# Ta3BeP

An optimized crystal structure of Ta3BeP (GGA-PBE, Alexandria).

Unit cell a=4.355 b=4.355 c=4.355 alpha=90.00 beta=90.00 gamma=90.00
Space group Pm-3m (No. 221)
Inequivalent atoms, fractional coordinates:
1 Ta 0.000 0.000 0.500 (multiplicity 3)
2 Be 0.000 0.000 0.000 (multiplicity 1)
3 P 0.500 0.500 0.500 (multiplicity 1)

Summary:
As for the final energy: -41.15 eV per cell. Its energy of formation is 709 meV/atom. Its offset from the most stable computed form is 0 meV per atom. The calculated volume comes out at 16.5 A^3/atom.

# TaBeP2

An optimized crystal structure of TaBeP2 (GGA-PBE, Alexandria).

Unit cell a=3.520 b=3.520 c=8.858 alpha=90.00 beta=90.00 gamma=90.00
Space group I-4m2 (No. 119)
Inequivalent atoms, fractional coordinates:
1 Ta 0.000 0.000 0.000 (multiplicity 2)
2 Be 0.000 0.500 0.750 (multiplicity 2)
3 P 0.000 0.000 0.500 (multiplicity 2)
4 P 0.000 0.500 0.250 (multiplicity 2)

Summary:
As for the final energy: -52.65 eV per cell. Its energy of formation is 18 meV/atom. The calculated volume comes out at 13.7 A^3/atom.

# TaBeP2

An optimized crystal structure of TaBeP2 (GGA-PBE, Alexandria).

Unit cell a=4.126 b=4.126 c=3.198 alpha=90.00 beta=90.00 gamma=90.00
Space group P4/mmm (No. 123)
Inequivalent atoms, fractional coordinates:
1 Ta 0.000 0.000 0.000 (multiplicity 1)
2 Be 0.500 0.500 0.000 (multiplicity 1)
3 P 0.000 0.500 0.500 (multiplicity 2)

Summary:
As for the final energy: -26.26 eV per cell. Its energy of formation is 34 meV/atom. The calculated volume comes out at 13.6 A^3/atom.

# TaBeP2

An optimized crystal structure of TaBeP2 (GGA-PBE, Alexandria).

Unit cell a=3.3266 b=3.3266 c=18.1316 alpha=90.00 beta=90.00 gamma=120.00
Space group R-3m (No. 166, hexagonal axes)
Inequivalent atoms, fractional coordinates:
1 Ta 0.0000 0.0000 0.0000 (multiplicity 3)
2 Be 0.0000 0.0000 0.5000 (multiplicity 3)
3 P 0.0000 0.0000 0.2406 (multiplicity 6)

Summary:
As for the final energy: -81.88 eV per cell. Its energy of formation is -224 meV/atom. The calculated volume comes out at 14.5 A^3/atom.

# TaBe2P

An optimized crystal structure of TaBe2P (GGA-PBE, Alexandria).

Unit cell a=3.439 b=3.447 c=7.853 alpha=90.00 beta=90.00 gamma=90.00
Space group Imm2 (No. 44)
Inequivalent atoms, fractional coordinates:
1 Ta 0.000 0.000 0.000 (multiplicity 2)
2 Be 0.000 0.000 0.467 (multiplicity 2)
3 Be 0.000 0.500 0.750 (multiplicity 2)
4 P 0.000 0.500 0.249 (multiplicity 2)

Summary:
As for the final energy: -51.67 eV per cell. Its energy of formation is -280 meV/atom. The calculated volume comes out at 11.6 A^3/atom.

# Ta4BeP

An optimized crystal structure of Ta4BeP (GGA-PBE, Alexandria).

Unit cell a=7.624 b=7.624 c=7.624 alpha=90.00 beta=90.00 gamma=90.00
Space group F-43m (No. 216)
Inequivalent atoms, fractional coordinates:
1 Ta 0.124 0.124 0.124 (multiplicity 16)
2 Be 0.250 0.250 0.750 (multiplicity 4)
3 P 0.000 0.000 0.500 (multiplicity 4)

Summary:
As for the final energy: -205.61 eV per cell. Its energy of formation is 858 meV/atom. Its offset from the most stable computed form is 1338 meV per atom. The calculated volume comes out at 18.5 A^3/atom.

# TaBe2P

An optimized crystal structure of TaBe2P (GGA-PBE, Alexandria).

Unit cell a=3.637 b=3.637 c=3.527 alpha=90.00 beta=90.00 gamma=90.00
Space group P4/mmm (No. 123)
Inequivalent atoms, fractional coordinates:
1 Ta 0.000 0.000 0.000 (multiplicity 1)
2 Be 0.000 0.500 0.500 (multiplicity 2)
3 P 0.500 0.500 0.000 (multiplicity 1)

Summary:
As for the final energy: -24.98 eV per cell. Its energy of formation is -66 meV/atom. The calculated volume comes out at 11.7 A^3/atom.

# TaBeP2

An optimized crystal structure of TaBeP2 (GGA-PBE, Alexandria).

Unit cell a=3.210 b=4.229 c=7.771 alpha=90.00 beta=90.00 gamma=90.00
Space group Imm2 (No. 44)
Inequivalent atoms, fractional coordinates:
1 Ta 0.000 0.000 0.000 (multiplicity 2)
2 Be 0.000 0.500 0.771 (multiplicity 2)
3 P 0.000 0.000 0.459 (multiplicity 2)
4 P 0.000 0.500 0.222 (multiplicity 2)

Summary:
As for the final energy: -53.10 eV per cell. Its energy of formation is -38 meV/atom. The calculated volume comes out at 13.2 A^3/atom.

# TaBeP

An optimized crystal structure of TaBeP (GGA-PBE, Alexandria).

Unit cell a=4.838 b=6.149 c=6.483 alpha=62.38 beta=72.25 gamma=85.60
Space group P1 (No. 1)
Inequivalent atoms, fractional coordinates:
1 Ta 0.000 0.000 0.000 (multiplicity 1)
2 Ta 0.124 0.518 0.425 (multiplicity 1)
3 Ta 0.324 0.613 0.818 (multiplicity 1)
4 Ta 0.628 0.194 0.630 (multiplicity 1)
5 Be 0.044 0.237 0.241 (multiplicity 1)
6 Be 0.455 0.155 0.079 (multiplicity 1)
7 Be 0.599 0.657 0.390 (multiplicity 1)
8 Be 0.816 0.547 0.139 (multiplicity 1)
9 P 0.190 0.056 0.562 (multiplicity 1)
10 P 0.495 0.818 0.042 (multiplicity 1)
11 P 0.794 0.893 0.448 (multiplicity 1)
12 P 0.816 0.428 0.854 (multiplicity 1)

Summary:
As for the final energy: -87.41 eV per cell. Its energy of formation is -288 meV/atom. Its offset from the most stable computed form is 0 meV per atom. The calculated volume comes out at 13.5 A^3/atom.

# TaBeP

An optimized crystal structure of TaBeP (GGA-PBE, Alexandria).

Unit cell a=5.769 b=5.769 c=5.769 alpha=90.00 beta=90.00 gamma=90.00
Space group F-43m (No. 216)
Inequivalent atoms, fractional coordinates:
1 Ta 0.000 0.000 0.000 (multiplicity 4)
2 Be 0.250 0.250 0.250 (multiplicity 4)
3 P 0.250 0.250 0.750 (multiplicity 4)

Summary:
As for the final energy: -78.76 eV per cell. Its energy of formation is 433 meV/atom. Its offset from the most stable computed form is 721 meV per atom. The calculated volume comes out at 16.0 A^3/atom.

# TaBe2P

An optimized crystal structure of TaBe2P (GGA-PBE, Alexandria).

Unit cell a=3.029 b=3.029 c=5.192 alpha=90.00 beta=90.00 gamma=90.00
Space group P4/mmm (No. 123)
Inequivalent atoms, fractional coordinates:
1 Ta 0.000 0.000 0.000 (multiplicity 1)
2 Be 0.500 0.500 0.300 (multiplicity 2)
3 P 0.000 0.000 0.500 (multiplicity 1)

Summary:
As for the final energy: -24.75 eV per cell. Its energy of formation is -9 meV/atom. The calculated volume comes out at 11.9 A^3/atom.

# TaBeP2

An optimized crystal structure of TaBeP2 (GGA-PBE, Alexandria).

Unit cell a=6.019 b=6.019 c=6.019 alpha=90.00 beta=90.00 gamma=90.00
Space group F-43m (No. 216)
Inequivalent atoms, fractional coordinates:
1 Ta 0.000 0.000 0.000 (multiplicity 4)
2 Be 0.250 0.250 0.250 (multiplicity 4)
3 P 0.000 0.000 0.500 (multiplicity 4)
4 P 0.250 0.250 0.750 (multiplicity 4)

Summary:
As for the final energy: -97.42 eV per cell. Its energy of formation is 511 meV/atom. The calculated volume comes out at 13.6 A^3/atom.

# TaBe2P

An optimized crystal structure of TaBe2P (GGA-PBE, Alexandria).

Unit cell a=6.538 b=6.538 c=4.821 alpha=90.00 beta=90.00 gamma=90.00
Space group I-42d (No. 122)
Inequivalent atoms, fractional coordinates:
1 Ta 0.000 0.000 0.000 (multiplicity 4)
2 Be 0.197 0.250 0.625 (multiplicity 8)
3 P 0.000 0.000 0.500 (multiplicity 4)

Summary:
As for the final energy: -97.06 eV per cell. Its energy of formation is 112 meV/atom. The calculated volume comes out at 12.9 A^3/atom.

# TaBe2P

An optimized crystal structure of TaBe2P (GGA-PBE, Alexandria).

Unit cell a=3.174 b=3.551 c=4.383 alpha=90.00 beta=90.00 gamma=90.00
Space group Pmmm (No. 47)
Inequivalent atoms, fractional coordinates:
1 Ta 0.000 0.000 0.000 (multiplicity 1)
2 Be 0.500 0.500 0.229 (multiplicity 2)
3 P 0.500 0.000 0.500 (multiplicity 1)

Summary:
As for the final energy: -25.08 eV per cell. Its energy of formation is -92 meV/atom. The calculated volume comes out at 12.4 A^3/atom.

# TaBeP2

An optimized crystal structure of TaBeP2 (GGA-PBE, Alexandria).

Unit cell a=8.588 b=3.074 c=4.387 alpha=90.00 beta=90.43 gamma=90.00
Space group C2/m (No. 12)
Inequivalent atoms, fractional coordinates:
1 Ta 0.000 0.000 0.000 (multiplicity 2)
2 Be 0.000 0.500 0.500 (multiplicity 2)
3 P 0.217 0.500 0.795 (multiplicity 4)

Summary:
As for the final energy: -52.32 eV per cell. Its energy of formation is 59 meV/atom. The calculated volume comes out at 14.5 A^3/atom.

# TaBe2P

An optimized crystal structure of TaBe2P (GGA-PBE, Alexandria).

Unit cell a=4.867 b=8.199 c=2.693 alpha=90.00 beta=106.73 gamma=90.00
Space group C2/m (No. 12)
Inequivalent atoms, fractional coordinates:
1 Ta 0.000 0.000 0.000 (multiplicity 2)
2 Be 0.250 0.250 0.500 (multiplicity 4)
3 P 0.000 0.500 0.000 (multiplicity 2)

Summary:
As for the final energy: -48.12 eV per cell. Its energy of formation is 164 meV/atom. The calculated volume comes out at 12.9 A^3/atom.

# TaBeP4

An optimized crystal structure of TaBeP4 (GGA-PBE, Alexandria).

Unit cell a=6.921 b=6.921 c=6.921 alpha=90.00 beta=90.00 gamma=90.00
Space group F-43m (No. 216)
Inequivalent atoms, fractional coordinates:
1 Ta 0.000 0.000 0.000 (multiplicity 4)
2 Be 0.250 0.250 0.750 (multiplicity 4)
3 P 0.126 0.126 0.374 (multiplicity 16)

Summary:
As for the final energy: -133.11 eV per cell. Its energy of formation is 657 meV/atom. The calculated volume comes out at 13.8 A^3/atom.

# TaBeP

An optimized crystal structure of TaBeP (GGA-PBE, Alexandria).

Unit cell a=5.621 b=5.621 c=5.621 alpha=90.00 beta=90.00 gamma=90.00
Space group F-43m (No. 216)
Inequivalent atoms, fractional coordinates:
1 Ta 0.000 0.000 0.000 (multiplicity 4)
2 Be 0.000 0.000 0.500 (multiplicity 4)
3 P 0.250 0.250 0.250 (multiplicity 4)

Summary:
As for the final energy: -81.84 eV per cell. Its energy of formation is 176 meV/atom. Its offset from the most stable computed form is 464 meV per atom. The calculated volume comes out at 14.8 A^3/atom.

# TaBe3P

An optimized crystal structure of TaBe3P (GGA-PBE, Alexandria).

Unit cell a=4.479 b=4.479 c=4.479 alpha=90.00 beta=90.00 gamma=90.00
Space group Pm-3m (No. 221)
Inequivalent atoms, fractional coordinates:
1 Ta 0.000 0.000 0.000 (multiplicity 1)
2 Be 0.000 0.000 0.500 (multiplicity 3)
3 P 0.500 0.500 0.500 (multiplicity 1)

Summary:
As for the final energy: -19.20 eV per cell. Its energy of formation is 1848 meV/atom. Its offset from the most stable computed form is 1022 meV per atom. The calculated volume comes out at 18.0 A^3/atom.